# 1
Compound: TlGaCoSn2
Source: Alexandria via LeMat-Bulk
Functional: PBE
Structure: optimized geometry

Cell lengths 5.0334, 5.0334, 4.6499 Å; angles 90.00, 90.00, 90.00 degrees
Closest atoms and distances in Å follow each position.
Fractional coordinates of all 5 atoms:
Tl  0.0000  0.0000  0.0000  8 Sn 3.43, 4 Ga 3.56
Ga  0.5000  0.5000  0.0000  2 Co 2.32
Co  0.5000  0.5000  0.5000  2 Ga 2.32, 4 Sn 2.52
Sn  0.0000  0.5000  0.5000  2 Co 2.52
Sn  0.5000  0.0000  0.5000  2 Co 2.52

space-group type: P4/mmm, No. 123
E_form: 0.025 eV/atom

***

# 2
Compound: LiPuAg2
Source: Alexandria via LeMat-Bulk
Functional: PBE
Structure: optimized geometry

Cell lengths 5.3647, 5.3647, 3.0254 Å; angles 90.00, 90.00, 90.00 degrees
Closest atoms and distances in Å follow each position.
Fractional coordinates of all 4 atoms:
Li  0.0000  0.0000  0.0000  2 Li 3.03, 8 Ag 3.08
Pu  0.5000  0.5000  0.0000  2 Pu 3.03, 8 Ag 3.08
Ag  0.0000  0.5000  0.5000  2 Ag 3.03, 4 Pu 3.08, 4 Li 3.08
Ag  0.5000  0.0000  0.5000  2 Ag 3.03, 4 Pu 3.08, 4 Li 3.08

space-group type: P4/mmm, No. 123
E_form: 0.022 eV/atom
E above lowest polymorph: 0.099 eV per atom

***

Number 1: total magnetization 0.000 μB/atom. Number 2: total magnetization 1.543 μB/atom.